Below is Sr3PaAs4 after structural relaxation, with properties calculated at the GGA-PBE level.

Lattice parameters (Å, degrees): 7.6001 7.6122 8.8228 90.00 90.00 109.88
Positions (direct):
Sr1 0.7500 0.0000 0.3756
Sr2 0.2500 0.0000 0.6244
Sr3 0.7500 0.5000 0.6217
Sr4 0.7500 0.5000 0.1239
Sr5 0.2500 0.5000 0.3783
Sr6 0.2500 0.5000 0.8761
As1 0.9770 0.2336 0.6464
As2 0.5020 0.2156 0.8926
As3 0.4770 0.2336 0.3536
As4 0.0020 0.2156 0.1074
As5 0.9980 0.7844 0.8926
As6 0.5230 0.7664 0.6464
As7 0.4980 0.7844 0.1074
As8 0.0230 0.7664 0.3536
Pa1 0.7500 0.0000 0.8748
Pa2 0.2500 0.0000 0.1252

Computed properties:
space-group type	P2/c (13)
crystal system	monoclinic
total energy	-83.714	eV per cell
calculated formation energy	-1.090	eV/atom

Below is Y2CuMo after structural relaxation, with properties calculated at the GGA-PBE level.

Lattice parameters (Å, degrees): 3.3786 3.3786 7.9379 90.00 90.00 90.01
Site moments in Bohr magnetons follow the coordinates.
Positions (direct):
Cu1 0.0000 0.0000 0.5521  0.03
Mo1 0.5000 0.5000 0.6910  0.45
Y1 0.0000 0.0000 0.9376  -0.01
Y2 0.5000 0.5000 0.3192  0.03

Computed properties:
space-group type	P4mm (99)
crystal system	tetragonal
distance to the lowest polymorph of the same formula	45	kJ/mol of formula units
total energy	-26.808	eV per cell
calculated formation energy	0.262	eV/atom

Below is Er2Si4Tc3 after structural relaxation, with properties calculated at the GGA-PBE level.

Lattice parameters (Å, degrees): 6.7370 6.7575 6.7659 90.00 90.00 110.06
Positions (direct):
Er1 0.5577 0.1916 0.3320
Er2 0.9423 0.8084 0.8320
Er3 0.4423 0.8084 0.6680
Er4 0.0577 0.1916 0.1680
Si1 0.8767 0.1020 0.5508
Si2 0.6233 0.8980 0.0508
Si3 0.1233 0.8980 0.4492
Si4 0.3767 0.1020 0.9492
Si5 0.8679 0.5124 0.1410
Si6 0.6321 0.4876 0.6410
Si7 0.1321 0.4876 0.8590
Si8 0.3679 0.5124 0.3590
Tc1 0.0000 0.5000 0.5000
Tc2 0.5000 0.5000 0.0000
Tc3 0.7576 0.2383 0.8503
Tc4 0.7424 0.7617 0.3503
Tc5 0.2424 0.7617 0.1497
Tc6 0.2576 0.2383 0.6497

Computed properties:
space-group type	P2_1/c (14)
crystal system	monoclinic
distance to the lowest polymorph of the same formula	0	kJ/mol of formula units
total energy	-137.349	eV per cell
uncorrected formation energy	-0.751	eV per atom

Below is CdBRh3 after structural relaxation, with properties calculated at the GGA-PBE level.

Lattice parameters (Å, degrees): 4.8733 4.8733 4.8733 90.00 90.00 90.00
Site moments in Bohr magnetons follow the coordinates.
Positions (direct):
B1 0.5000 0.5000 0.5000  -0.09
Rh1 0.0000 0.5000 0.0000  0.78
Rh2 0.0000 0.0000 0.5000  0.95
Rh3 0.5000 0.0000 0.0000  0.48
Cd1 0.0000 0.0000 0.0000  0.02

Computed properties:
space-group type	Pm-3m (221)
crystal system	cubic
distance to the lowest polymorph of the same formula	1300	kJ/mol of formula units
total energy	-17.225	eV per cell
calculated formation energy	2.484	eV/atom

Below is HfPd3S after structural relaxation, with properties calculated at the GGA-PBE level.

Lattice parameters (Å, degrees): 4.8825 4.8825 4.8825 90.00 90.00 90.00
Positions (direct):
S1 0.5000 0.5000 0.5000
Hf1 0.0000 0.0000 0.0000
Pd1 0.0000 0.5000 0.0000
Pd2 0.0000 0.0000 0.5000
Pd3 0.5000 0.0000 0.0000

Computed properties:
space-group type	Pm-3m (221)
crystal system	cubic
distance to the lowest polymorph of the same formula	405	kJ/mol of formula units
total energy	-25.754	eV per cell
uncorrected formation energy	0.781	eV per atom

Below is Ac6RuPt2Rh after structural relaxation, with properties calculated at the GGA-PBE level.

Lattice parameters (Å, degrees): 7.5196 7.5205 8.2264 62.78 62.79 60.02
Positions (direct):
Ac1 0.5847 0.2373 0.2501
Ac2 0.2378 0.9279 0.2499
Ac3 0.9281 0.5842 0.2504
Ac4 0.4239 0.7327 0.7545
Ac5 0.7323 0.0889 0.7549
Ac6 0.0884 0.4241 0.7552
Ru1 0.3281 0.3285 0.0152
Pt1 0.5044 0.5045 0.4863
Pt2 0.0044 0.0042 0.9868
Rh1 0.8295 0.8293 0.5118

Computed properties:
space-group type	R3 (146)
crystal system	trigonal
total energy	-60.071	eV per cell
calculated formation energy	-0.671	eV/atom

Below is RbSi2Cl after structural relaxation, with properties calculated at the GGA-PBE level.

Lattice parameters (Å, degrees): 4.6950 4.6950 11.8214 78.55 78.55 90.00
Positions (direct):
Si1 0.3747 0.1250 0.2500
Si2 0.3753 0.6250 0.2500
Si3 0.3750 0.6253 0.7500
Si4 0.8750 0.6247 0.7500
Rb1 0.0000 0.0000 0.0000
Rb2 0.7500 0.2500 0.5000
Cl1 0.5000 0.5000 0.0000
Cl2 0.2500 0.7500 0.5000

Computed properties:
space-group type	I4_1/amd (141)
crystal system	tetragonal
distance to the lowest polymorph of the same formula	0	kJ/mol of formula units
total energy	-26.952	eV per cell
uncorrected formation energy	0.046	eV per atom

Below is TlRePO2 after structural relaxation, with properties calculated at the GGA-PBE level.

Lattice parameters (Å, degrees): 3.9623 6.1578 3.9623 90.00 90.00 90.00
Site moments in Bohr magnetons follow the coordinates.
Positions (direct):
Re1 0.5000 0.5000 0.5000  3.21
Tl1 0.0000 0.0000 0.0000  -0.02
O1 0.0000 0.0000 0.5000  0.05
O2 0.5000 0.0000 0.0000  0.08
P1 0.0000 0.5000 0.0000  -0.20

Computed properties:
space-group type	P4/mmm (123)
crystal system	tetragonal
distance to the lowest polymorph of the same formula	895	kJ/mol of formula units
total energy	-24.307	eV per cell
uncorrected formation energy	1.167	eV per atom